# 1
Below is a PBEsol-optimized structure of K3HoP2O8, with properties calculated at the meta-GGA SCAN level.

The density of states at the Fermi level is 0.000 states/eV/f.u. Its space group is P2_1/m. The calculation puts the formation energy (no corrections) at -2.8828 eV per atom.

```
K3HoP2O8
1.0
-1.1050 2.2859 4.9953
-7.1513 0.2641 -1.7027
-1.0389 -8.4917 3.6561
K Ho P O
6 2 4 16
Cartesian
-7.4882 -5.8752 5.7465
-1.8070 -0.0665 1.2022
-4.0395 -3.1824 5.2771
-5.2556 -2.7593 1.6716
-4.6274 0.2245 3.5880
-4.6677 -6.1662 3.3607
-1.1749 -0.7363 4.7914
-8.1203 -5.2054 2.1573
-7.2625 -2.9319 4.4496
-2.0326 -3.0098 2.4992
-5.8926 0.0104 0.2632
-3.4026 -5.9522 6.6855
-1.5377 -2.8503 5.6786
-7.7575 -3.0914 1.2702
-6.3949 -1.6944 4.0752
-2.9002 -4.2474 2.8736
-7.2334 -3.1766 5.9858
-2.5602 -1.7340 3.2164
-2.0618 -2.7652 0.9630
-6.7349 -4.2078 3.7323
-6.2885 -1.1294 -0.7213
-2.5079 -5.8441 5.4154
-3.0066 -4.8123 7.6700
-6.7873 -0.0977 1.5334
-7.1824 -7.1080 3.2354
-2.1128 1.1663 3.7133
-4.4205 -0.1525 0.6634
-4.8747 -5.7892 6.2853
```

# 2
Below is a PBEsol-optimized structure of BeCuOs, with properties calculated at the meta-GGA SCAN level.

The density of states at the Fermi level is 1.281 states/eV/f.u. Its space group is Fmm2. For the formation enthalpy at 0 K, the calculation gives 0.13 eV per atom.

```
BeCuOs
1.0
2.5554 0.0165 0.0000
-1.0493 2.3301 0.0000
-0.7530 -1.1733 5.8902
Be Os Cu
1 1 1
Cartesian
0.7530 1.1733 5.8619
0.7530 1.1733 1.8407
0.0000 0.0000 4.0779
```

# 3
Below is a PBEsol-optimized structure of Hf2MnB2, with properties calculated at the meta-GGA SCAN level.

The density of states at the Fermi level is 1.442 states/eV/f.u. Its space group is P4/mbm. For the formation enthalpy at 0 K, the calculation gives -0.70 eV per atom.

```
Hf2MnB2
1.0
3.3257 0.0000 0.0000
0.0000 6.0128 0.0000
0.0000 0.0000 6.0128
B Mn Hf
4 2 4
Cartesian
0.0000 2.3638 5.3702
0.0000 5.3702 3.6490
0.0000 3.6490 0.6426
0.0000 0.6426 2.3638
0.0000 0.0000 0.0000
0.0000 3.0064 3.0064
1.6628 1.1077 4.1141
1.6628 4.1141 4.9051
1.6628 4.9051 1.8987
1.6628 1.8987 1.1077
```

# 4
Below is a PBEsol-optimized structure of LiSbRhI2, with properties calculated at the meta-GGA SCAN level.

The density of states at the Fermi level is 0.965 states/eV/f.u. Its space group is P4/mmm. The calculation puts the formation energy (no corrections) at -0.1070 eV per atom.

```
LiSbRhI2
1.0
4.9126 0.0000 0.0000
0.0000 5.6042 0.0000
0.0000 0.0000 5.6042
I Sb Rh Li
2 1 1 1
Cartesian
0.0000 0.0000 2.8021
0.0000 2.8021 0.0000
2.4563 0.0000 0.0000
0.0000 0.0000 0.0000
2.4563 2.8021 2.8021
```

Theoretical density (computed, g cm⁻³): 4.1; 12.4; 12.0; 5.2